1.
The following is a DFT calculation (PBE-GGA) of a relaxed structure of RbEr2Sc.

Spin magnetization ... 0.0 μB/f.u.
Energy relative to the elements ... 1.4 eV/f.u.
Total energy ... -45.22 eV for the cell shown
ρ ... 5.60 g/cm3

Cell lengths 3.5229, 3.5229, 38.4494 Å; angles 90.00, 90.00, 120.00 degrees
With the nearest neighbours (Å) after each atom.
Space group R-3m (No. 166, hexagonal axes)
Symmetry-distinct sites (fractional):
Rb 0.0000 0.0000 0.0000 [3 per cell]  6 Rb 3.52, 2 Er 3.79
Er 0.0000 0.0000 0.0987 [6 per cell]  3 Sc 3.31, 6 Er 3.52
Sc 0.0000 0.0000 0.5000 [3 per cell]  6 Er 3.31, 6 Sc 3.52

---

2.
The following is a DFT calculation (PBE-GGA) of a relaxed structure of Rb3ErSc3Se8.

Spin magnetization ... 0.0 μB/f.u.
Total energy ... -233.68 eV for the cell shown
ρ ... 4.43 g/cm3
Formation energy from raw total energies ... -1.5704 eV/atom

Cell lengths 7.9515, 7.9515, 24.4678 Å; angles 90.00, 90.00, 120.00 degrees
With the nearest neighbours (Å) after each atom.
Space group R-3m (No. 166, hexagonal axes)
Symmetry-distinct sites (fractional):
Rb 0.0000 0.5000 0.0000 [9 per cell]  6 Se 3.44
Er 0.0000 0.0000 0.5000 [3 per cell]  6 Se 2.84
Sc 0.0000 0.5000 0.5000 [9 per cell]  6 Se 2.74-2.75
Se 0.0000 0.0000 0.2287 [6 per cell]  3 Sc 2.75
Se 0.0126 0.5063 0.7700 [18 per cell]  2 Sc 2.74, 1 Er 2.84

---

3.
The following is a DFT calculation (PBE-GGA) of a relaxed structure of Rb2ErScSe4.

Spin magnetization ... 0.0 μB/f.u.
Total energy ... -40.00 eV for the cell shown
ρ ... 4.94 g/cm3
Formation energy from raw total energies ... -1.6542 eV/atom

Cell lengths 7.1492, 4.1306, 8.3018 Å; angles 90.00, 106.67, 90.00 degrees
With the nearest neighbours (Å) after each atom.
Space group P2/m (No. 10)
Symmetry-distinct sites (fractional):
Rb 0.0000 0.0000 0.0000 [1 per cell]  6 Se 3.46
Rb 0.5000 0.5000 0.0000 [1 per cell]  6 Se 3.40
Er 0.0000 0.5000 0.5000 [1 per cell]  6 Se 2.86-2.87
Sc 0.5000 0.0000 0.5000 [1 per cell]  6 Se 2.78-2.79
Se 0.2394 0.0000 0.6921 [2 per cell]  1 Sc 2.78, 2 Er 2.86
Se 0.2792 0.5000 0.3119 [2 per cell]  2 Sc 2.79, 1 Er 2.87

---

4.
The following is a DFT calculation (PBE-GGA) of a relaxed structure of Rb3ErSc2Se6.

Spin magnetization ... 0.0 μB/f.u.
Total energy ... -121.26 eV for the cell shown
ρ ... 4.73 g/cm3
Formation energy from raw total energies ... -1.6327 eV/atom

Cell lengths 7.1017, 12.3007, 8.2887 Å; angles 90.00, 106.61, 90.00 degrees
With the nearest neighbours (Å) after each atom.
Space group C2/m (No. 12)
Symmetry-distinct sites (fractional):
Rb 0.0000 0.0000 0.0000 [2 per cell]  6 Se 3.38-3.45
Rb 0.0000 0.3354 0.0000 [4 per cell]  6 Se 3.39-3.45
Er 0.0000 0.5000 0.5000 [2 per cell]  6 Se 2.86
Sc 0.0000 0.1668 0.5000 [4 per cell]  6 Se 2.77
Se 0.2197 0.0000 0.6884 [4 per cell]  2 Sc 2.77, 1 Er 2.86
Se 0.2346 0.3284 0.6891 [8 per cell]  2 Sc 2.77, 1 Er 2.86

---

5.
The following is a DFT calculation (PBE-GGA) of a relaxed structure of Rb4ErSc3Te8.

Spin magnetization ... 0.0 μB/f.u.
Total energy ... -218.48 eV for the cell shown
ρ ... 4.89 g/cm3
Formation energy from raw total energies ... -1.2665 eV/atom

Cell lengths 8.7645, 8.7645, 25.5061 Å; angles 90.00, 90.00, 120.00 degrees
With the nearest neighbours (Å) after each atom.
Space group R-3m (No. 166, hexagonal axes)
Symmetry-distinct sites (fractional):
Rb 0.0000 0.0000 0.0000 [3 per cell]  6 Te 3.59
Rb 0.0000 0.5000 0.0000 [9 per cell]  6 Te 3.66
Er 0.0000 0.0000 0.5000 [3 per cell]  6 Te 3.07
Sc 0.0000 0.5000 0.5000 [9 per cell]  6 Te 2.99
Te 0.0000 0.0000 0.2294 [6 per cell]  3 Sc 2.99
Te 0.0084 0.5042 0.7692 [18 per cell]  2 Sc 2.99, 1 Er 3.07

---

6.
The following is a DFT calculation (PBE-GGA) of a relaxed structure of Rb4Er3ScTe8.

Spin magnetization ... 0.0 μB/f.u.
Total energy ... -211.03 eV for the cell shown
ρ ... 5.39 g/cm3
Formation energy from raw total energies ... -1.3324 eV/atom

Cell lengths 8.9203, 8.9203, 25.5946 Å; angles 90.00, 90.00, 120.00 degrees
With the nearest neighbours (Å) after each atom.
Space group R-3m (No. 166, hexagonal axes)
Symmetry-distinct sites (fractional):
Rb 0.0000 0.0000 0.0000 [3 per cell]  6 Te 3.71
Rb 0.0000 0.5000 0.0000 [9 per cell]  6 Te 3.64
Er 0.0000 0.5000 0.5000 [9 per cell]  6 Te 3.08-3.09
Sc 0.0000 0.0000 0.5000 [3 per cell]  6 Te 3.01
Te 0.0000 0.0000 0.2330 [6 per cell]  3 Er 3.08
Te 0.0084 0.5042 0.2315 [18 per cell]  1 Sc 3.01, 2 Er 3.09

---

7.
The following is a DFT calculation (PBE-GGA) of a relaxed structure of Rb3Er2ScTe6.

Spin magnetization ... 0.0 μB/f.u.
Total energy ... -106.14 eV for the cell shown
ρ ... 5.31 g/cm3
Formation energy from raw total energies ... -1.3218 eV/atom

Cell lengths 7.7031, 13.3406, 8.9041 Å; angles 90.00, 106.78, 90.00 degrees
With the nearest neighbours (Å) after each atom.
Space group C2/m (No. 12)
Symmetry-distinct sites (fractional):
Rb 0.0000 0.0000 0.0000 [2 per cell]  6 Te 3.63-3.70
Rb 0.0000 0.3306 0.0000 [4 per cell]  6 Te 3.63-3.68
Er 0.0000 0.1663 0.5000 [4 per cell]  6 Te 3.09
Sc 0.0000 0.5000 0.5000 [2 per cell]  6 Te 3.00
Te 0.2268 0.3379 0.6945 [8 per cell]  1 Sc 3.00, 2 Er 3.09
Te 0.2412 0.0000 0.6956 [4 per cell]  1 Sc 3.00, 2 Er 3.09

---

8.
The following is a DFT calculation (PBE-GGA) of a relaxed structure of Rb3ErSc2Te6.

Spin magnetization ... 0.0 μB/f.u.
Total energy ... -108.63 eV for the cell shown
ρ ... 4.98 g/cm3
Formation energy from raw total energies ... -1.2780 eV/atom

Cell lengths 7.6127, 13.1845, 8.8761 Å; angles 90.00, 106.64, 90.00 degrees
With the nearest neighbours (Å) after each atom.
Space group C2/m (No. 12)
Symmetry-distinct sites (fractional):
Rb 0.0000 0.0000 0.0000 [2 per cell]  6 Te 3.60-3.67
Rb 0.0000 0.3360 0.0000 [4 per cell]  6 Te 3.62-3.67
Er 0.0000 0.5000 0.5000 [2 per cell]  6 Te 3.08
Sc 0.0000 0.1670 0.5000 [4 per cell]  6 Te 2.99
Te 0.2210 0.0000 0.6915 [4 per cell]  2 Sc 2.99, 1 Er 3.08
Te 0.2356 0.3286 0.6924 [8 per cell]  2 Sc 2.99, 1 Er 3.08

---

What did the eighth record say?
The following is a DFT calculation (PBE-GGA) of a relaxed structure of Rb3ErSc2Te6.

Spin magnetization ... 0.0 μB/f.u.
Total energy ... -108.63 eV for the cell shown
ρ ... 4.98 g/cm3
Formation energy from raw total energies ... -1.2780 eV/atom

Cell lengths 7.6127, 13.1845, 8.8761 Å; angles 90.00, 106.64, 90.00 degrees
With the nearest neighbours (Å) after each atom.
Space group C2/m (No. 12)
Symmetry-distinct sites (fractional):
Rb 0.0000 0.0000 0.0000 [2 per cell]  6 Te 3.60-3.67
Rb 0.0000 0.3360 0.0000 [4 per cell]  6 Te 3.62-3.67
Er 0.0000 0.5000 0.5000 [2 per cell]  6 Te 3.08
Sc 0.0000 0.1670 0.5000 [4 per cell]  6 Te 2.99
Te 0.2210 0.0000 0.6915 [4 per cell]  2 Sc 2.99, 1 Er 3.08
Te 0.2356 0.3286 0.6924 [8 per cell]  2 Sc 2.99, 1 Er 3.08

---

Q: Which value of total energy does entry 6 give?
A: -211.03 eV for the cell shown

---

Q: What is the formula in the second record?
A: Rb3ErSc3Se8

---

Q: Look up the total energy of the fifth one.
A: -218.48 eV for the cell shown